# PBE NaSI2N, optimized geometry
# ΔE_f (raw): 0.275 eV/atom
# Spin magnetization: 0.00 μB/f.u.
# Mass density: 3.9 g/cm3
# Final energy: -3.10 eV per atom
# Relative energy among the computed polymorphs: 0 meV per atom
data_NaSI2N
_symmetry_space_group_name_H-M 'P 4/m m m'
_symmetry_Int_Tables_number 123
_symmetry_space_group_name_Hall '-P 4 2'
_cell_length_a 6.300
_cell_length_b 6.300
_cell_length_c 3.429
_cell_angle_alpha 90.00
_cell_angle_beta 90.00
_cell_angle_gamma 90.00
loop_
_atom_site_label
_atom_site_fract_x
_atom_site_fract_y
_atom_site_fract_z
Na1 0.000 0.000 0.000
S1 0.500 0.500 0.500
I1 0.000 0.500 0.500
N1 0.500 0.500 0.000

# PBE NaSIN2, optimized geometry
# ΔE_f (raw): 1.911 eV/atom
# Spin magnetization: 5.73 μB/f.u.
# Mass density: 3.0 g/cm3
# Final energy: -2.82 eV per atom
# Relative energy among the computed polymorphs: 701 meV per atom
data_NaSIN2
_symmetry_space_group_name_H-M 'P 4/m m m'
_symmetry_Int_Tables_number 123
_symmetry_space_group_name_Hall '-P 4 2'
_cell_length_a 4.497
_cell_length_b 4.497
_cell_length_c 5.686
_cell_angle_alpha 90.00
_cell_angle_beta 90.00
_cell_angle_gamma 90.00
loop_
_atom_site_label
_atom_site_fract_x
_atom_site_fract_y
_atom_site_fract_z
Na1 0.000 0.000 0.000
S1 0.000 0.000 0.500
I1 0.500 0.500 0.500
N1 0.000 0.500 0.000

# PBE NaSIN2, optimized geometry
# ΔE_f (raw): 1.210 eV/atom
# Spin magnetization: 0.76 μB/f.u.
# Mass density: 3.0 g/cm3
# Final energy: -3.52 eV per atom
# Relative energy among the computed polymorphs: 0 meV per atom
data_NaSIN2
_symmetry_space_group_name_H-M 'P 4/m m m'
_symmetry_Int_Tables_number 123
_symmetry_space_group_name_Hall '-P 4 2'
_cell_length_a 3.764
_cell_length_b 3.764
_cell_length_c 8.151
_cell_angle_alpha 90.00
_cell_angle_beta 90.00
_cell_angle_gamma 90.00
loop_
_atom_site_label
_atom_site_fract_x
_atom_site_fract_y
_atom_site_fract_z
Na1 0.000 0.000 0.000
S1 0.500 0.500 0.500
I1 0.500 0.500 0.000
N1 0.000 0.500 0.500

# PBE NaSIN2, optimized geometry
# ΔE_f (raw): 1.974 eV/atom
# Spin magnetization: 5.55 μB/f.u.
# Mass density: 2.7 g/cm3
# Final energy: -2.76 eV per atom
# Relative energy among the computed polymorphs: 764 meV per atom
data_NaSIN2
_symmetry_space_group_name_H-M 'P 4/m m m'
_symmetry_Int_Tables_number 123
_symmetry_space_group_name_Hall '-P 4 2'
_cell_length_a 4.425
_cell_length_b 4.425
_cell_length_c 6.581
_cell_angle_alpha 90.00
_cell_angle_beta 90.00
_cell_angle_gamma 90.00
loop_
_atom_site_label
_atom_site_fract_x
_atom_site_fract_y
_atom_site_fract_z
Na1 0.000 0.000 0.000
S1 0.500 0.500 0.500
I1 0.000 0.000 0.500
N1 0.000 0.500 0.000